(1)
Computed, not measured: a relaxed FePbW2 crystal at the GGA-PBE level of DFT.

formation energy: 4.792 eV per formula unit
magnetic moment: 0.0 μB per cell
mass density: 14.73 g/cm³

a b c (Å): 3.7915 3.7915 19.7893
angles (deg): 90.00 90.00 90.00
Element x y z (fractional)
Fe1 0.0000 0.0000 0.0000
Fe2 0.0000 0.5000 0.2500
Fe3 0.5000 0.0000 0.7500
Fe4 0.5000 0.5000 0.5000
Pb1 0.0000 0.0000 0.5000
Pb2 0.0000 0.5000 0.7500
Pb3 0.5000 0.0000 0.2500
Pb4 0.5000 0.5000 0.0000
W1 0.2384 0.2500 0.1250
W2 0.2500 0.7384 0.3750
W3 0.2500 0.7616 0.8750
W4 0.2616 0.2500 0.6250
W5 0.7384 0.7500 0.6250
W6 0.7500 0.2384 0.8750
W7 0.7500 0.2616 0.3750
W8 0.7616 0.7500 0.1250

=====

(2)
Computed, not measured: a relaxed FePbW2 crystal at the GGA-PBE level of DFT.

formation energy: 3.228 eV per formula unit
magnetic moment: 4.8 μB per cell
mass density: 15.61 g/cm³

a b c (Å): 4.0921 4.0921 8.0147
angles (deg): 90.00 90.00 90.00
Element x y z (fractional)
Fe1 0.0000 0.0000 0.0000
Fe2 0.5000 0.5000 0.5000
Pb1 0.0000 0.5000 0.7500
Pb2 0.5000 0.0000 0.2500
W1 0.0000 0.0000 0.5000
W2 0.0000 0.5000 0.2500
W3 0.5000 0.0000 0.7500
W4 0.5000 0.5000 0.0000